[1]
The following is a DFT calculation (PBE-GGA) of crystalline LiHf2MnN at its relaxed geometry.

Values from the calculation:
formation energy from raw total energies = -0.5226 eV/atom

a = 4.5094 Å, b = 4.5094 Å, c = 3.6037 Å
α = 90.00°, β = 90.00°, γ = 90.00°
Space group P4/mmm (No. 123)
Symmetry-distinct sites (fractional):
Li: 0.0000 0.0000 0.0000 (multiplicity 1)
Hf: 0.0000 0.5000 0.5000 (multiplicity 2)
Mn: 0.5000 0.5000 0.0000 (multiplicity 1)
N: 0.5000 0.5000 0.5000 (multiplicity 1)


[2]
The following is a DFT calculation (PBE-GGA) of crystalline La3SmOs at its relaxed geometry.

Values from the calculation:
polymorph energy (0 for the lowest one) = 129 meV/atom
calculated formation energy = 34.8 meV/atom

a = 5.6715 Å, b = 5.6715 Å, c = 5.6715 Å
α = 90.00°, β = 90.00°, γ = 90.00°
Space group Pm-3m (No. 221)
Symmetry-distinct sites (fractional):
La: 0.0000 0.0000 0.5000 (multiplicity 3)
Sm: 0.5000 0.5000 0.5000 (multiplicity 1)
Os: 0.0000 0.0000 0.0000 (multiplicity 1)


[3]
The following is a DFT calculation (PBE-GGA) of crystalline Nd2Tm3Zn2 at its relaxed geometry.

Values from the calculation:
polymorph energy (0 for the lowest one) = 0 meV/atom
calculated formation energy = -132.2 meV/atom

a = 3.6062 Å, b = 30.3712 Å, c = 3.5068 Å
α = 90.00°, β = 90.00°, γ = 90.00°
Space group Cmmm (No. 65)
Symmetry-distinct sites (fractional):
Nd: 0.0000 0.1982 0.0000 (multiplicity 4)
Tm: 0.0000 0.0804 0.0000 (multiplicity 4)
Tm: 0.0000 0.5000 0.5000 (multiplicity 2)
Zn: 0.0000 0.3652 0.5000 (multiplicity 4)


[4]
The following is a DFT calculation (PBE-GGA) of crystalline LiAgH2 at its relaxed geometry.

Values from the calculation:
polymorph energy (0 for the lowest one) = 0 meV/atom

a = 4.4214 Å, b = 4.4214 Å, c = 8.5983 Å
α = 90.00°, β = 90.00°, γ = 90.00°
Space group I-42d (No. 122)
Symmetry-distinct sites (fractional):
Li: 0.0000 0.0000 0.0000 (multiplicity 4)
Ag: 0.0000 0.0000 0.5000 (multiplicity 4)
H: 0.2458 0.2500 0.6250 (multiplicity 8)


Sequential calculated volume output: 14.66 36.49 27.43 10.51 A^3/atom
Sequential total magnetization output: 0.00 0.00 0.01 0.00 μB/cell